# 1
DFT (PBE) results for SrLiNi after structural relaxation.

Calculated values
SG: C2/m, No. 12
Energy above the lowest structure with this stoichiometry (eV per atom): 0.000
Crystal system: monoclinic
M_tot (μB per cell): 0.00
ΔE_f (meV/atom): 0

```
SrLiNi
1.0
4.107 0.000 0.000
0.000 5.606 -0.132
-2.054 -1.354 6.672
Sr Li Ni
2 2 2
direct
0.868 0.682 0.736
0.132 0.318 0.264
0.603 0.804 0.205
0.397 0.196 0.795
0.233 0.904 0.466
0.767 0.096 0.534
```


# 2
DFT (PBE) results for Dy4TcPb after structural relaxation.

Calculated values
SG: C2/c, No. 15
Crystal system: monoclinic
M_tot (μB per cell): 0.00
ΔE_f (meV/atom): -288

```
Dy4TcPb
1.0
6.063 0.126 -1.261
-2.291 7.146 -2.821
0.117 -0.356 8.009
Pb Dy Tc
2 8 2
direct
0.250 0.372 0.628
0.750 0.628 0.372
0.946 0.058 0.724
0.630 0.203 0.348
0.870 0.652 0.797
0.446 0.724 0.058
0.370 0.797 0.652
0.130 0.348 0.203
0.054 0.942 0.276
0.554 0.276 0.942
0.250 0.000 0.000
0.750 0.000 0.000
```


# 3
DFT (PBE) results for TaP2WCl after structural relaxation.

Calculated values
SG: P4/mmm, No. 123
Energy above the lowest structure with this stoichiometry (eV per atom): 0.000
Crystal system: tetragonal
M_tot (μB per cell): 4.23

```
TaP2WCl
1.0
4.885 0.000 0.000
0.000 4.885 0.000
0.000 0.000 4.622
P Ta Cl W
2 1 1 1
direct
0.500 0.000 0.000
0.000 0.500 0.000
0.000 0.000 0.000
0.000 0.000 0.500
0.500 0.500 0.500
```


# 4
DFT (PBE) results for UTaMoC3 after structural relaxation.

Calculated values
SG: P2_1/m, No. 11
Crystal system: monoclinic
M_tot (μB per cell): 0.00
ΔE_f (meV/atom): -392

```
UTaMoC3
1.0
3.181 0.000 0.000
0.000 5.507 0.119
0.000 -2.019 8.244
Ta U C Mo
2 2 6 2
direct
0.250 0.768 0.053
0.750 0.232 0.947
0.250 0.353 0.305
0.750 0.647 0.695
0.250 0.956 0.843
0.750 0.559 0.163
0.250 0.441 0.837
0.750 0.260 0.509
0.750 0.044 0.157
0.250 0.740 0.491
0.250 0.123 0.634
0.750 0.877 0.366
```


# 5
DFT (PBE) results for La2TbEr after structural relaxation.

Calculated values
SG: R-3m, No. 166
Energy above the lowest structure with this stoichiometry (eV per atom): 0.154
Crystal system: trigonal
M_tot (μB per cell): 0.00
ΔE_f (meV/atom): 176

```
La2TbEr
1.0
3.527 0.000 0.000
1.764 3.055 0.000
1.764 1.018 12.677
La Tb Er
2 1 1
direct
0.913 0.913 0.261
0.087 0.087 0.739
0.500 0.500 0.500
0.000 0.000 0.000
```


# 6
DFT (PBE) results for SmAsO4 after structural relaxation.

Calculated values
SG: P2_1/c, No. 14
Energy above the lowest structure with this stoichiometry (eV per atom): 0.036
Crystal system: monoclinic
M_tot (μB per cell): 0.00

```
SmAsO4
1.0
6.750 0.009 0.000
-1.827 6.675 0.000
0.000 0.000 7.133
O As Sm
16 4 4
direct
0.222 0.611 0.210
0.722 0.111 0.290
0.495 0.604 0.847
0.995 0.104 0.653
0.420 0.257 0.506
0.278 0.889 0.710
0.920 0.757 0.994
0.165 0.521 0.602
0.505 0.396 0.153
0.005 0.896 0.347
0.080 0.243 0.006
0.335 0.979 0.102
0.778 0.389 0.790
0.835 0.479 0.398
0.665 0.021 0.898
0.580 0.743 0.494
0.389 0.698 0.660
0.611 0.302 0.340
0.111 0.802 0.160
0.889 0.198 0.840
0.589 0.781 0.148
0.911 0.719 0.648
0.089 0.281 0.352
0.411 0.219 0.852
```


# 7
DFT (PBE) results for Sr2Zn4Co after structural relaxation.

Calculated values
SG: I4/mmm, No. 139
Crystal system: tetragonal
M_tot (μB per cell): 0.00
ΔE_f (meV/atom): -76

```
Sr2Zn4Co
1.0
-4.299 0.221 1.876
-1.620 -2.830 -3.379
-1.312 -7.649 3.773
Sr Co Zn
2 1 4
direct
0.353 0.353 0.293
0.647 0.647 0.707
0.000 0.000 0.000
0.855 0.855 0.289
0.500 0.000 0.000
0.145 0.145 0.711
0.000 0.500 0.000
```


# 8
DFT (PBE) results for Al6ZnPd2 after structural relaxation.

Calculated values
SG: P-1, No. 2
Crystal system: triclinic
M_tot (μB per cell): 0.00
ΔE_f (meV/atom): -354

```
Al6ZnPd2
1.0
4.720 0.015 1.018
2.240 4.104 0.601
-0.973 -0.053 7.000
Al Pd Zn
6 2 1
direct
0.166 0.167 0.499
0.155 0.833 0.837
0.845 0.167 0.163
0.515 0.823 0.164
0.485 0.177 0.836
0.834 0.833 0.501
0.826 0.507 0.828
0.174 0.493 0.172
0.500 0.500 0.500
```